# 1
{
  "formula": "CaEuYTm",
  "functional": "PBE",
  "state": "optimized geometry",
  "cell": [[-1.5718, 4.6810, 3.1115], [0.8876, 0.1028, 5.7676], [4.0815, 3.5052, 2.2624]],
  "species": ["Y", "Tm", "Ca", "Eu"],
  "fractional_positions": [[0.7500, 0.7500, 0.7500], [0.5000, 0.5000, 0.5000], [0.0000, 0.0000, 0.0000], [0.2500, 0.2500, 0.2500]],
  "delta_e_f_ev_per_atom": 0.1546,
  "sg": "F-43m (216)",
  "volume_a3_per_cell": 140.58
}

# 2
{
  "formula": "Tc3Ru",
  "functional": "PBE",
  "state": "optimized geometry",
  "cell": [[4.7452, -0.0037, 0.0000], [-1.5821, 4.4737, 0.0000], [0.0000, 0.0000, 2.7209]],
  "species": ["Tc", "Tc", "Tc", "Ru"],
  "fractional_positions": [[0.0000, 0.5000, 0.5000], [0.5000, 0.0000, 0.5000], [0.5000, 0.5000, 0.0000], [0.0000, 0.0000, 0.0000]],
  "delta_e_f_ev_per_atom": 0.0603,
  "e_above_lowest_polymorph_ev_per_atom": 0.105,
  "sg": "Cmmm (65)",
  "volume_a3_per_cell": 57.74
}

# 3
{
  "formula": "LiGaGe2S",
  "functional": "PBE",
  "state": "optimized geometry",
  "cell": [[-0.1030, 4.2689, 2.0850], [0.5352, -1.9093, 3.9355], [4.7157, 0.3452, -0.4738]],
  "species": ["Ga", "Ge", "Ge", "S", "Li"],
  "fractional_positions": [[0.5000, 0.5000, 0.5000], [0.0000, 0.0000, 0.5000], [0.5000, 0.0000, 0.0000], [0.0000, 0.5000, 0.0000], [0.0000, 0.0000, 0.0000]],
  "sg": "P4/mmm (123)",
  "e_form_raw_mev_per_atom": 333,
  "volume_a3_per_cell": 99.51
}

# 4
{
  "formula": "Cs2KNa",
  "functional": "PBE",
  "state": "optimized geometry",
  "cell": [[-5.1054, -0.1424, 0.8057], [-1.8567, -1.6531, 4.5337], [-1.8911, 12.9529, 6.8970]],
  "species": ["K", "Cs", "Cs", "Na"],
  "fractional_positions": [[0.5001, 0.5001, 0.4996], [0.0729, 0.0729, 0.7813], [0.2604, 0.2604, 0.2187], [0.6666, 0.6666, 0.0003]],
  "delta_e_f_ev_per_atom": 0.0598,
  "e_above_lowest_polymorph_ev_per_atom": 0.046,
  "sg": "R3m (160)",
  "volume_a3_per_cell": 335.53
}

# 5
{
  "formula": "Sr2Y",
  "functional": "PBE",
  "state": "optimized geometry",
  "cell": [[-1.4372, 8.4065, -6.2784], [-1.3368, -9.7612, 3.8840], [-4.6018, 2.2460, 4.0607]],
  "species": ["Y", "Y", "Sr", "Sr", "Sr", "Sr"],
  "fractional_positions": [[0.1110, 0.8890, 0.7500], [0.8890, 0.1110, 0.2500], [0.5522, 0.4478, 0.2500], [0.7761, 0.2239, 0.7500], [0.2239, 0.7761, 0.2500], [0.4478, 0.5522, 0.7500]],
  "delta_e_f_ev_per_atom": 0.2182,
  "e_above_lowest_polymorph_ev_per_atom": 0.077,
  "sg": "Cmcm (63)",
  "volume_a3_per_cell": 265.75
}

# 6
{
  "formula": "Ho2CuRh",
  "functional": "PBE",
  "state": "optimized geometry",
  "cell": [[-0.3879, -4.2992, 0.2743], [-0.0039, -0.3521, -5.5244], [7.0500, -0.4684, 2.6284]],
  "species": ["Ho", "Ho", "Ho", "Ho", "Cu", "Cu", "Rh", "Rh"],
  "fractional_positions": [[0.2500, 0.7829, 0.0661], [0.7500, 0.2171, 0.9339], [0.7500, 0.2261, 0.4279], [0.2500, 0.7739, 0.5721], [0.7500, 0.6556, 0.2889], [0.2500, 0.3444, 0.7111], [0.7500, 0.6562, 0.7868], [0.2500, 0.3438, 0.2132]],
  "delta_e_f_ev_per_atom": -0.6191,
  "sg": "P2_1/m (11)",
  "volume_a3_per_cell": 169.44
}

# 7
{
  "formula": "LiTh2V",
  "functional": "PBE",
  "state": "optimized geometry",
  "cell": [[-0.6582, -2.4824, -2.1342], [0.0109, -3.1647, 1.0653], [-11.3314, -1.0805, 2.1392]],
  "species": ["V", "Li", "Th", "Th"],
  "fractional_positions": [[0.5000, 0.5000, 0.5000], [0.0000, 0.0000, 0.0000], [0.0969, 0.0969, 0.7093], [0.9031, 0.9031, 0.2907]],
  "delta_e_f_ev_per_atom": 0.5306,
  "sg": "R-3m (166)",
  "volume_a3_per_cell": 110.28
}

# 8
{
  "formula": "Sc2Hg2As",
  "functional": "PBE",
  "state": "optimized geometry",
  "cell": [[7.1059, 0.0000, 0.0000], [0.0000, 7.1059, 0.0000], [0.0000, 0.0000, 4.6060]],
  "species": ["As", "As", "Sc", "Sc", "Sc", "Sc", "Hg", "Hg", "Hg", "Hg"],
  "fractional_positions": [[0.0000, 0.0000, 0.0000], [0.5000, 0.5000, 0.0000], [0.8337, 0.6663, 0.0000], [0.6663, 0.1663, 0.0000], [0.3337, 0.8337, 0.0000], [0.1663, 0.3337, 0.0000], [0.1456, 0.6456, 0.5000], [0.3544, 0.1456, 0.5000], [0.6456, 0.8544, 0.5000], [0.8544, 0.3544, 0.5000]],
  "delta_e_f_ev_per_atom": -0.4949,
  "e_above_lowest_polymorph_ev_per_atom": 0.000,
  "sg": "P4/mbm (127)",
  "volume_a3_per_cell": 232.57
}

# 9
{
  "formula": "Tl4H5Pd2",
  "functional": "PBE",
  "state": "optimized geometry",
  "cell": [[3.5252, 0.0000, 0.0000], [0.0000, 6.9251, -0.0964], [0.0000, 0.1490, 7.5307]],
  "species": ["Pd", "Pd", "Tl", "Tl", "Tl", "Tl", "H", "H", "H", "H", "H"],
  "fractional_positions": [[0.0000, 0.0682, 0.3211], [0.0000, 0.9318, 0.6789], [0.5000, 0.3006, 0.6364], [0.5000, 0.6994, 0.3636], [0.5000, 0.7309, 0.9108], [0.5000, 0.2691, 0.0892], [0.0000, 0.8808, 0.1790], [0.0000, 0.5000, 0.0000], [0.0000, 0.1192, 0.8210], [0.0000, 0.7194, 0.5800], [0.0000, 0.2806, 0.4200]],
  "sg": "P2/m (10)",
  "volume_a3_per_cell": 183.89,
  "total_energy_ev_per_cell": -34.60
}

# 10
{
  "formula": "TaIr2Pt",
  "functional": "PBE",
  "state": "optimized geometry",
  "cell": [[-2.7616, -7.5328, -4.7524], [-0.1192, -8.3062, -4.2365], [-2.1146, -8.7785, -2.3283]],
  "species": ["Ir", "Ir", "Ta", "Pt"],
  "fractional_positions": [[0.9989, 0.9989, 0.9989], [0.2518, 0.2518, 0.2518], [0.7493, 0.7493, 0.7493], [0.5000, 0.5000, 0.5000]],
  "delta_e_f_ev_per_atom": -0.1467,
  "e_above_lowest_polymorph_ev_per_atom": 0.501,
  "sg": "R3m (160)",
  "volume_a3_per_cell": 62.41
}

# 11
{
  "formula": "InMo2Br",
  "functional": "PBE",
  "state": "optimized geometry",
  "cell": [[3.0508, 0.0273, 0.0000], [-1.5720, 2.6148, 0.0000], [0.0000, 0.0000, 9.3576]],
  "species": ["Mo", "Mo", "In", "Br"],
  "fractional_positions": [[0.0000, 0.0000, 0.0083], [0.0000, 0.0000, 0.4917], [0.5000, 0.5000, 0.7500], [0.5000, 0.5000, 0.2500]],
  "e_above_lowest_polymorph_ev_per_atom": 0.556,
  "sg": "Cmmm (65)",
  "e_form_raw_mev_per_atom": 821,
  "volume_a3_per_cell": 75.05
}

# 12
{
  "formula": "AlTcTe2",
  "functional": "PBE",
  "state": "optimized geometry",
  "cell": [[2.1185, 0.0000, 8.5772], [-1.0592, 1.8346, 8.5772], [-1.0592, -1.8346, 8.5772]],
  "species": ["Te", "Te", "Tc", "Al"],
  "fractional_positions": [[0.9008, 0.9008, 0.9008], [0.0992, 0.0992, 0.0992], [0.0000, 0.0000, 0.0000], [0.5000, 0.5000, 0.5000]],
  "sg": "R-3m (166)",
  "e_form_raw_mev_per_atom": 675,
  "volume_a3_per_cell": 100.01
}

# 13
{
  "formula": "HgHPb2",
  "functional": "PBE",
  "state": "optimized geometry",
  "cell": [[3.4211, 0.4955, 0.0183], [-0.8541, 5.9492, -0.4914], [0.1135, 0.3762, 9.5976]],
  "species": ["H", "H", "Pb", "Pb", "Pb", "Pb", "Hg", "Hg"],
  "fractional_positions": [[0.9045, 0.6790, 0.1259], [0.0955, 0.3210, 0.8741], [0.5339, 0.8339, 0.6576], [0.0303, 0.3312, 0.6605], [0.9697, 0.6688, 0.3395], [0.4661, 0.1661, 0.3424], [0.7261, 0.7720, 0.9541], [0.2739, 0.2280, 0.0459]],
  "e_above_lowest_polymorph_ev_per_atom": 0.000,
  "sg": "P-1 (2)",
  "volume_a3_per_cell": 199.99
}

# 14
{
  "formula": "K2TaOs",
  "functional": "PBE",
  "state": "optimized geometry",
  "cell": [[-4.9046, -0.7788, 1.5235], [-2.8932, 4.0100, 1.5912], [-3.9331, 1.6935, -2.9404]],
  "species": ["Ta", "K", "K", "Os"],
  "fractional_positions": [[0.0000, 0.0000, 0.0000], [0.7500, 0.7500, 0.7500], [0.2500, 0.2500, 0.2500], [0.5000, 0.5000, 0.5000]],
  "delta_e_f_ev_per_atom": 2.6573,
  "e_above_lowest_polymorph_ev_per_atom": 2.058,
  "sg": "Fm-3m (225)",
  "volume_a3_per_cell": 99.11
}

# 15
{
  "formula": "UNbVOs",
  "functional": "PBE",
  "state": "optimized geometry",
  "cell": [[-3.4460, -2.5894, 1.4836], [-2.1279, -2.8274, -2.8738], [0.5486, -4.5066, 0.4121]],
  "species": ["Os", "U", "Nb", "V"],
  "fractional_positions": [[0.2500, 0.2500, 0.2500], [0.7500, 0.7500, 0.7500], [0.0000, 0.0000, 0.0000], [0.5000, 0.5000, 0.5000]],
  "delta_e_f_ev_per_atom": 0.1114,
  "sg": "F-43m (216)",
  "volume_a3_per_cell": 66.98
}

# 16
{
  "formula": "Gd2MgAu",
  "functional": "PBE",
  "state": "optimized geometry",
  "cell": [[5.2412, 0.0000, 0.0000], [2.6206, 4.5390, 0.0000], [2.6206, 1.5130, 4.2794]],
  "species": ["Gd", "Gd", "Mg", "Au"],
  "fractional_positions": [[0.7500, 0.7500, 0.7500], [0.2500, 0.2500, 0.2500], [0.0000, 0.0000, 0.0000], [0.5000, 0.5000, 0.5000]],
  "delta_e_f_ev_per_atom": -0.4025,
  "e_above_lowest_polymorph_ev_per_atom": 0.062,
  "sg": "Fm-3m (225)",
  "volume_a3_per_cell": 101.81
}

# 17
{
  "formula": "Nd2DyAgSe5",
  "functional": "PBE",
  "state": "optimized geometry",
  "cell": [[-4.0624, 0.5610, -0.6645], [1.4246, -8.4356, -2.8441], [-2.4767, -4.2995, 11.5118]],
  "species": ["Se", "Se", "Se", "Se", "Se", "Se", "Se", "Se", "Se", "Se", "Dy", "Dy", "Nd", "Nd", "Nd", "Nd", "Ag", "Ag"],
  "fractional_positions": [[0.9542, 0.9085, 0.5795], [0.0458, 0.0915, 0.0795], [0.3060, 0.6119, 0.3449], [0.5023, 0.0046, 0.2728], [0.4977, 0.9954, 0.7728], [0.7137, 0.4273, 0.1673], [0.6940, 0.3881, 0.8449], [0.3592, 0.7185, 0.0001], [0.2863, 0.5727, 0.6673], [0.6408, 0.2815, 0.5001], [0.8044, 0.6089, 0.5088], [0.1956, 0.3911, 0.0088], [0.8749, 0.7499, 0.8055], [0.1251, 0.2501, 0.3055], [0.1102, 0.2203, 0.6857], [0.8898, 0.7797, 0.1857], [0.4430, 0.8860, 0.4594], [0.5570, 0.1140, 0.9594]],
  "sg": "Cmc2_1 (36)",
  "e_form_raw_mev_per_atom": -1548,
  "volume_a3_per_cell": 456.87
}

# 18
{
  "formula": "Pa2TlO5",
  "functional": "PBE",
  "state": "optimized geometry",
  "cell": [[-2.1481, -2.9301, 0.9241], [4.3036, -5.1555, 1.2604], [2.4310, -2.3016, 5.9566]],
  "species": ["O", "O", "O", "O", "O", "Pa", "Pa", "Tl"],
  "fractional_positions": [[0.6730, 0.5578, 0.0962], [0.6730, 0.0962, 0.5578], [0.0000, 0.5000, 0.5000], [0.3270, 0.9038, 0.4422], [0.3270, 0.4422, 0.9038], [0.1845, 0.3155, 0.3155], [0.8155, 0.6845, 0.6845], [0.0000, 0.0000, 0.0000]],
  "sg": "Immm (71)",
  "e_form_raw_mev_per_atom": -3010,
  "volume_a3_per_cell": 128.30
}

# 19
{
  "formula": "LaPr2SiN",
  "functional": "PBE",
  "state": "optimized geometry",
  "cell": [[-1.7466, -3.1934, -1.7209], [8.2090, -2.2338, 0.5235], [-1.2668, -3.0344, 6.9163]],
  "species": ["N", "N", "La", "La", "Pr", "Pr", "Pr", "Pr", "Si", "Si"],
  "fractional_positions": [[0.0000, 0.0000, 0.5000], [0.0000, 0.0000, 0.0000], [0.4946, 0.9893, 0.2500], [0.5054, 0.0107, 0.7500], [0.8522, 0.7044, 0.5145], [0.1478, 0.2956, 0.4855], [0.1478, 0.2956, 0.0145], [0.8522, 0.7044, 0.9855], [0.6886, 0.3772, 0.7500], [0.3114, 0.6228, 0.2500]],
  "sg": "Cmcm (63)",
  "e_form_raw_mev_per_atom": -695,
  "volume_a3_per_cell": 255.37
}

# 20
{
  "formula": "SrTlGaAg",
  "functional": "PBE",
  "state": "optimized geometry",
  "cell": [[5.2312, 0.0000, 0.0000], [2.6156, 4.5304, 0.0000], [2.6156, 1.5101, 4.2713]],
  "species": ["Tl", "Sr", "Ga", "Ag"],
  "fractional_positions": [[0.5000, 0.5000, 0.5000], [0.0000, 0.0000, 0.0000], [0.7500, 0.7500, 0.7500], [0.2500, 0.2500, 0.2500]],
  "delta_e_f_ev_per_atom": -0.1791,
  "sg": "F-43m (216)",
  "volume_a3_per_cell": 101.23
}

# 21
{
  "formula": "Dy2ZnGe3Rh4",
  "functional": "PBE",
  "state": "optimized geometry",
  "cell": [[-2.2575, -3.4643, -0.2979], [0.6312, -0.0590, -4.0969], [8.5483, -5.6908, 1.3991]],
  "species": ["Rh", "Rh", "Rh", "Rh", "Ge", "Ge", "Ge", "Dy", "Dy", "Zn"],
  "fractional_positions": [[0.5000, 0.5000, 0.0000], [0.5000, 0.0000, 0.6365], [0.0000, 0.0000, 0.0000], [0.0000, 0.5000, 0.3635], [0.0000, 0.5000, 0.1307], [0.5000, 0.0000, 0.8693], [0.0000, 0.0000, 0.5000], [0.0000, 0.5000, 0.7504], [0.5000, 0.0000, 0.2496], [0.5000, 0.5000, 0.5000]],
  "delta_e_f_ev_per_atom": -0.8142,
  "sg": "P-4m2 (115)",
  "volume_a3_per_cell": 178.12
}

# 22
{
  "formula": "SnGePt",
  "functional": "PBE",
  "state": "optimized geometry",
  "cell": [[3.9824, 0.0000, 0.0000], [-1.9912, 3.8443, -1.0411], [0.0000, -1.9044, 9.4184]],
  "species": ["Ge", "Ge", "Sn", "Sn", "Pt", "Pt"],
  "fractional_positions": [[0.5841, 0.1681, 0.9031], [0.4159, 0.8319, 0.0969], [0.9050, 0.8100, 0.3279], [0.0950, 0.1900, 0.6721], [0.1460, 0.2921, 0.1743], [0.8540, 0.7079, 0.8257]],
  "delta_e_f_ev_per_atom": -0.2291,
  "e_above_lowest_polymorph_ev_per_atom": 0.139,
  "sg": "C2/m (12)",
  "volume_a3_per_cell": 136.30
}

# 23
{
  "formula": "NaCaLa2Tc",
  "functional": "PBE",
  "state": "optimized geometry",
  "cell": [[5.4222, 0.0000, 0.0000], [0.0000, 5.4222, 0.0000], [0.0000, 0.0000, 6.0661]],
  "species": ["Tc", "La", "La", "Na", "Ca"],
  "fractional_positions": [[0.0000, 0.0000, 0.0000], [0.5000, 0.0000, 0.0000], [0.0000, 0.5000, 0.0000], [0.5000, 0.5000, 0.5000], [0.0000, 0.0000, 0.5000]],
  "delta_e_f_ev_per_atom": 0.0857,
  "sg": "P4/mmm (123)",
  "volume_a3_per_cell": 178.34
}

# 24
{
  "formula": "TiSbAs2Ir",
  "functional": "PBE",
  "state": "optimized geometry",
  "cell": [[4.6667, 0.0000, 0.0000], [0.0000, 5.5716, 0.0000], [0.0000, 0.0000, 4.6667]],
  "species": ["Ti", "As", "As", "Sb", "Ir"],
  "fractional_positions": [[0.5000, 0.5000, 0.5000], [0.0000, 0.0000, 0.5000], [0.5000, 0.0000, 0.0000], [0.0000, 0.5000, 0.0000], [0.0000, 0.0000, 0.0000]],
  "sg": "P4/mmm (123)",
  "e_form_raw_mev_per_atom": 660,
  "volume_a3_per_cell": 121.34
}

# 25
{
  "formula": "HgPtCl2",
  "functional": "PBE",
  "state": "optimized geometry",
  "cell": [[3.2257, 0.0000, 0.0000], [0.0000, 3.2257, 0.0000], [0.0000, 0.0000, 9.3265]],
  "species": ["Cl", "Cl", "Pt", "Hg"],
  "fractional_positions": [[0.0000, 0.0000, 0.5827], [0.0000, 0.0000, 0.9173], [0.5000, 0.5000, 0.7500], [0.5000, 0.5000, 0.2500]],
  "e_above_lowest_polymorph_ev_per_atom": 0.562,
  "sg": "P4/mmm (123)",
  "e_form_raw_mev_per_atom": 339,
  "volume_a3_per_cell": 97.04
}

# 26
{
  "formula": "MgHgOs2",
  "functional": "PBE",
  "state": "optimized geometry",
  "cell": [[-3.6346, 1.3625, -4.3187], [0.8473, -1.7367, -5.4758], [-0.9524, -1.1313, 5.6153]],
  "species": ["Os", "Os", "Hg", "Mg"],
  "fractional_positions": [[0.9760, 0.9760, 0.0000], [0.7734, 0.2734, 0.5000], [0.5203, 0.5203, 0.0000], [0.2303, 0.7303, 0.5000]],
  "delta_e_f_ev_per_atom": 0.5847,
  "e_above_lowest_polymorph_ev_per_atom": 0.395,
  "sg": "Imm2 (44)",
  "volume_a3_per_cell": 69.87
}

# 27
{
  "formula": "Hf3SbPt",
  "functional": "PBE",
  "state": "optimized geometry",
  "cell": [[5.0635, 0.0000, 0.0000], [0.0000, 5.0635, 0.0000], [0.0000, 0.0000, 5.0635]],
  "species": ["Hf", "Hf", "Hf", "Sb", "Pt"],
  "fractional_positions": [[0.0000, 0.0000, 0.5000], [0.5000, 0.0000, 0.0000], [0.0000, 0.5000, 0.0000], [0.5000, 0.5000, 0.5000], [0.0000, 0.0000, 0.0000]],
  "e_above_lowest_polymorph_ev_per_atom": 0.000,
  "sg": "Pm-3m (221)",
  "e_form_raw_mev_per_atom": -5,
  "volume_a3_per_cell": 129.82
}